Computed, not measured: a relaxed HfHPd3 crystal at the GGA-PBEsol level of DFT.

```
5
Lattice="4.021 0.000 0.000 0.000 4.021 0.000 0.000 0.000 4.021" Properties=species:S:1:pos:R:3 pbc="T T T"
Hf 0.000 0.000 0.000
H 2.010 2.010 2.010
Pd 0.000 2.010 2.010
Pd 2.010 0.000 2.010
Pd 2.010 2.010 0.000
```

* uncorrected energy: -34.26 eV per cell
* DOS(E_F): 6.40 states/eV/f.u.
* space-group type: Pm-3m